Entry 1:
{"formula": "MnCd2Se", "functional": "PBE", "state": "relaxed", "lattice_angstrom": [[6.5588, 0.0327, -0.0001], [4.1104, 5.1111, 0.0001], [-4.8572, -3.5621, 2.5958]], "species": ["Cd", "Cd", "Mn", "Se"], "frac_coords": [[0.6858, 0.1858, 0.5000], [0.0156, 0.0156, 0.0000], [0.4787, 0.4787, 0.0000], [0.3199, 0.8199, 0.5000]], "formation_energy_uncorrected_ev_per_atom": 0.02, "density_g_cm3": 6.87}



Entry 2:
{"formula": "SrZrSe2F", "functional": "PBE", "state": "relaxed", "lattice_angstrom": [[-2.7193, 1.9793, -3.7515], [-5.4059, -4.1610, 1.7232], [-1.7338, 3.5482, 3.1288]], "species": ["Sr", "Se", "Se", "F", "Zr"], "frac_coords": [[0.0000, 0.5000, 0.0000], [0.5000, 0.0000, 0.0000], [0.0000, 0.0000, 0.5000], [0.5000, 0.5000, 0.5000], [0.0000, 0.0000, 0.0000]], "formation_energy_uncorrected_ev_per_atom": -1.02, "density_g_cm3": 3.31}



Entry 3:
{"formula": "KSrP3", "functional": "PBE", "state": "relaxed", "lattice_angstrom": [[5.6032, 0.0000, 0.0000], [0.0000, 5.6032, 0.0000], [0.0000, 0.0000, 5.6032]], "species": ["P", "P", "P", "Sr", "K"], "frac_coords": [[0.5000, 0.0000, 0.0000], [0.0000, 0.0000, 0.5000], [0.0000, 0.5000, 0.0000], [0.0000, 0.0000, 0.0000], [0.5000, 0.5000, 0.5000]], "density_g_cm3": 2.07, "formation_energy_ev_per_atom": 0.6828}